(1)
First-principles (PBE) data for a relaxed Tb2Nd7Er2 crystal, as listed in Alexandria.

Cell: 8.2586 6.9897 6.9897 Å, 78.81 78.19 78.19°
Last column: nearest neighbours and their distance in Å.
Atoms (fractional coordinates):
Nd: 0.8203 0.5226 0.9172  5 Nd 3.34-3.63, 3 Tb 3.42-3.65, 1 Er 3.45
Nd: 0.8203 0.9172 0.5226  5 Nd 3.34-3.63, 3 Tb 3.42-3.65, 1 Er 3.45
Tb: 0.8092 0.4501 0.4501  7 Nd 3.29-3.65, 2 Er 3.56, 1 Tb 3.59
Er: 0.5000 0.2102 0.7898  6 Nd 3.45-3.57, 2 Tb 3.56, 1 Er 3.73
Tb: 0.1908 0.5499 0.5499  7 Nd 3.29-3.65, 2 Er 3.56, 1 Tb 3.59
Nd: 0.0000 0.0000 0.0000  6 Nd 3.63-4.02
Nd: 0.5528 0.2630 0.2630  1 Tb 3.29, 4 Nd 3.43-3.51, 4 Er 3.52-3.57
Er: 0.5000 0.7898 0.2102  6 Nd 3.45-3.57, 2 Tb 3.56, 1 Er 3.73
Nd: 0.1797 0.0828 0.4774  5 Nd 3.34-3.63, 3 Tb 3.42-3.65, 1 Er 3.45
Nd: 0.4472 0.7370 0.7370  1 Tb 3.29, 4 Nd 3.43-3.51, 4 Er 3.52-3.57
Nd: 0.1797 0.4774 0.0828  5 Nd 3.34-3.63, 3 Tb 3.42-3.65, 1 Er 3.45

Calculated values
ΔH_f (0 K) = 0.1567 eV per atom
Fermi-level density of states = 13.49 states/eV per cell
energy above the most stable polymorph in this dataset = 0.21 eV per formula unit
calculated volume = 381.68 Å³/cell

=====

(2)
First-principles (PBE) data for a relaxed Tb4Nd3Er crystal, as listed in Alexandria.

Cell: 3.4867 6.7942 11.9541 Å, 106.56 98.39 90.00°
Last column: nearest neighbours and their distance in Å.
Atoms (fractional coordinates):
Er: 0.5000 0.0000 0.0000  2 Er 3.49, 4 Tb 3.70, 8 Nd 3.73-3.82
Nd: 0.8741 0.1171 0.7481  5 Tb 3.29-3.56, 3 Nd 3.34-3.49
Tb: 0.7407 0.2480 0.4815  7 Tb 3.49-3.75, 3 Nd 3.51-3.56
Tb: 0.2593 0.7520 0.5185  7 Tb 3.49-3.75, 3 Nd 3.51-3.56
Nd: 0.1259 0.8829 0.2519  5 Tb 3.29-3.56, 3 Nd 3.34-3.49
Nd: 0.0000 0.5000 0.0000  2 Tb 3.33, 4 Nd 3.34-3.49
Tb: 0.8755 0.6348 0.7509  3 Nd 3.29-3.51, 5 Tb 3.49-3.53
Tb: 0.1245 0.3652 0.2491  3 Nd 3.29-3.51, 5 Tb 3.49-3.53

Calculated values
ΔH_f (0 K) = 0.1584 eV per atom
Fermi-level density of states = 14.41 states/eV per cell
energy above the most stable polymorph in this dataset = 1.08 eV per formula unit
calculated volume = 268.28 Å³/cell

=====

(3)
First-principles (PBE) data for a relaxed TbNd3Er5 crystal, as listed in Alexandria.

Cell: 9.5232 9.5232 11.6508 Å, 52.29 52.29 72.44°
Last column: nearest neighbours and their distance in Å.
Atoms (fractional coordinates):
Tb: 0.1511 0.1511 0.6015  4 Nd 3.20-3.38, 2 Er 3.40-3.44
Er: 0.3450 0.8436 0.2467  3 Er 3.28-3.63, 2 Nd 3.50-3.60
Er: 0.4915 0.4915 0.2236  3 Nd 3.20-3.38, 3 Er 3.30-3.33, 1 Tb 3.44
Er: 0.1564 0.6550 0.7533  3 Er 3.28-3.63, 2 Nd 3.50-3.60
Nd: 0.6604 0.6604 0.3657  1 Tb 3.20, 2 Er 3.27-3.38, 2 Nd 3.27-3.42
Er: 0.8436 0.3450 0.2467  3 Er 3.28-3.63, 2 Nd 3.50-3.60
Nd: 0.0000 0.0000 0.0000  4 Er 2.91-3.19, 2 Tb 3.26
Er: 0.7411 0.2589 0.0000  1 Nd 2.91
Nd: 0.7021 0.7021 0.8068  1 Nd 2.99, 3 Er 3.20-3.33
Tb: 0.8489 0.8489 0.3985  4 Nd 3.20-3.38, 2 Er 3.40-3.44
Nd: 0.3396 0.3396 0.6343  1 Tb 3.20, 2 Er 3.27-3.38, 2 Nd 3.27-3.42
Er: 0.2589 0.7411 0.0000  1 Nd 2.91
Nd: 0.0000 0.0000 0.5000  2 Nd 2.99, 2 Tb 3.31
Er: 0.8128 0.8128 0.9654  3 Nd 3.19-3.33, 3 Er 3.28-3.30, 1 Tb 3.40
Nd: 0.2979 0.2979 0.1932  1 Nd 2.99, 3 Er 3.20-3.33
Er: 0.1872 0.1872 0.0346  3 Nd 3.19-3.33, 3 Er 3.28-3.30, 1 Tb 3.40
Er: 0.5085 0.5085 0.7764  3 Nd 3.20-3.38, 3 Er 3.30-3.33, 1 Tb 3.44
Er: 0.6550 0.1564 0.7533  3 Er 3.28-3.63, 2 Nd 3.50-3.60

Calculated values
ΔH_f (0 K) = 0.5266 eV per atom
Fermi-level density of states = 24.27 states/eV per cell
energy above the most stable polymorph in this dataset = 2.09 eV per formula unit
calculated volume = 656.87 Å³/cell